# 1
# LiTc2, optimized geometry, DFT PBE-GGA
# DOS at the Fermi energy	7.31	states/eV per cell
# energy above the most stable polymorph in this dataset	178	meV/atom
# ΔE_f	0.83	eV per formula unit
# energy	-87.26	eV/cell
# ρ	7.73	g/cm3
# crystal system	monoclinic
data_LiTc2
_cell_length_a 10.499
_cell_length_b 2.729
_cell_length_c 6.166
_cell_angle_alpha 90.00
_cell_angle_beta 99.46
_cell_angle_gamma 90.00
_space_group_name_H-M_alt 'C 1 2/m 1'
_space_group_IT_number 12
loop_
_space_group_symop_operation_xyz
'x,y,z'
'-x,-y,-z'
'-x,y,-z'
'x,-y,z'
'x+1/2,y+1/2,z'
'-x+1/2,-y+1/2,-z'
'-x+1/2,y+1/2,-z'
'x+1/2,-y+1/2,z'
loop_
_atom_site_label
_atom_site_fract_x
_atom_site_fract_y
_atom_site_fract_z
Li1 0.023 0.000 0.330
Tc1 0.120 0.500 0.009
Tc2 0.227 0.500 0.686


# 2
# Nd2UTc2, optimized geometry, DFT PBE-GGA
# DOS at the Fermi energy	19.63	states/eV per cell
# ΔE_f	-0.56	eV per formula unit
# energy	-168.45	eV/cell
# ρ	9.88	g/cm3
# crystal system	monoclinic
data_Nd2UTc2
_cell_length_a 10.010
_cell_length_b 6.143
_cell_length_c 7.978
_cell_angle_alpha 90.00
_cell_angle_beta 98.27
_cell_angle_gamma 90.00
_space_group_name_H-M_alt 'C 1 2/c 1'
_space_group_IT_number 15
loop_
_space_group_symop_operation_xyz
'x,y,z'
'-x,-y,-z'
'-x,y,-z+1/2'
'x,-y,z+1/2'
'x+1/2,y+1/2,z'
'-x+1/2,-y+1/2,-z'
'-x+1/2,y+1/2,-z+1/2'
'x+1/2,-y+1/2,z+1/2'
loop_
_atom_site_label
_atom_site_fract_x
_atom_site_fract_y
_atom_site_fract_z
Nd1 0.150 0.122 0.151
U1 0.000 0.379 0.750
Tc1 0.122 0.377 0.514


# 3
# RbPuCl2F8, optimized geometry, DFT PBE-GGA
# DOS at the Fermi energy	11.62	states/eV per cell
# raw formation energy	-2.145	eV per atom
# energy	-59.71	eV/cell
# ρ	3.25	g/cm3
# crystal system	trigonal
data_RbPuCl2F8
_cell_length_a 6.5862
_cell_length_b 6.5862
_cell_length_c 7.5052
_cell_angle_alpha 90.00
_cell_angle_beta 90.00
_cell_angle_gamma 120.00
_space_group_name_H-M_alt 'P -3 m 1'
_space_group_IT_number 164
_space_group_name_Hall '-P 3 2"'
loop_
_atom_site_label
_atom_site_fract_x
_atom_site_fract_y
_atom_site_fract_z
Rb1 0.0000 0.0000 0.0000
Pu1 0.0000 0.0000 0.5000
Cl1 0.3333 0.6667 0.3569
F1 0.1423 0.2846 0.6721
F2 0.3333 0.6667 0.1355


# 4
# Tl2BiRhO8, optimized geometry, DFT PBE-GGA
# DOS at the Fermi energy	3.46	states/eV per cell
# raw formation energy	-0.615	eV per atom
# energy	-63.01	eV/cell
# ρ	8.33	g/cm3
# crystal system	monoclinic
data_Tl2BiRhO8
_cell_length_a 4.989
_cell_length_b 6.647
_cell_length_c 5.105
_cell_angle_alpha 90.00
_cell_angle_beta 92.47
_cell_angle_gamma 90.00
_space_group_name_H-M_alt 'P 1 2/m 1'
_space_group_IT_number 10
loop_
_space_group_symop_operation_xyz
'x,y,z'
'-x,-y,-z'
'-x,y,-z'
'x,-y,z'
loop_
_atom_site_label
_atom_site_fract_x
_atom_site_fract_y
_atom_site_fract_z
Tl1 0.000 0.243 0.000
Bi1 0.500 0.500 0.500
Rh1 0.500 0.000 0.500
O1 0.225 0.500 0.169
O2 0.247 0.000 0.195
O3 0.300 0.229 0.653


# 5
# BaUAsO2, optimized geometry, DFT PBE-GGA
# DOS at the Fermi energy	20.79	states/eV per cell
# raw formation energy	-2.417	eV per atom
# energy	-159.45	eV/cell
# ρ	7.38	g/cm3
# crystal system	orthorhombic
data_BaUAsO2
_cell_length_a 4.181
_cell_length_b 12.750
_cell_length_c 8.137
_cell_angle_alpha 90.00
_cell_angle_beta 90.00
_cell_angle_gamma 90.00
_space_group_name_H-M_alt 'C m c m'
_space_group_IT_number 63
_space_group_name_Hall '-C 2c 2'
loop_
_atom_site_label
_atom_site_fract_x
_atom_site_fract_y
_atom_site_fract_z
Ba1 0.000 0.230 0.250
U1 0.000 0.500 0.000
As1 0.000 0.040 0.750
O1 0.000 0.352 0.551


# 6
# BaTaHg2, optimized geometry, DFT PBE-GGA
# DOS at the Fermi energy	13.43	states/eV per cell
# ΔE_f	3.25	eV per formula unit
# energy	-44.52	eV/cell
# ρ	10.90	g/cm3
# crystal system	cubic
data_BaTaHg2
_cell_length_a 7.597
_cell_length_b 7.597
_cell_length_c 7.597
_cell_angle_alpha 90.00
_cell_angle_beta 90.00
_cell_angle_gamma 90.00
_space_group_name_H-M_alt 'F -4 3 m'
_space_group_IT_number 216
_space_group_name_Hall 'F -4 2 3'
loop_
_atom_site_label
_atom_site_fract_x
_atom_site_fract_y
_atom_site_fract_z
Ba1 0.000 0.000 0.000
Ta1 0.250 0.250 0.250
Hg1 0.000 0.000 0.500
Hg2 0.250 0.250 0.750


# 7
# V3CdTc, optimized geometry, DFT PBE-GGA
# DOS at the Fermi energy	5.19	states/eV per cell
# energy above the most stable polymorph in this dataset	0	meV/atom
# ΔE_f	4.83	eV per formula unit
# energy	-33.81	eV/cell
# ρ	6.36	g/cm3
# crystal system	cubic
data_V3CdTc
_cell_length_a 4.561
_cell_length_b 4.561
_cell_length_c 4.561
_cell_angle_alpha 90.00
_cell_angle_beta 90.00
_cell_angle_gamma 90.00
_space_group_name_H-M_alt 'P m -3 m'
_space_group_IT_number 221
_space_group_name_Hall '-P 4 2 3'
loop_
_atom_site_label
_atom_site_fract_x
_atom_site_fract_y
_atom_site_fract_z
V1 0.000 0.000 0.500
Cd1 0.500 0.500 0.500
Tc1 0.000 0.000 0.000


# 8
# Hf2Be6Cu21, optimized geometry, DFT PBE-GGA
# DOS at the Fermi energy	30.61	states/eV per cell
# ΔE_f	0.13	eV per formula unit
# energy	-512.62	eV/cell
# ρ	8.45	g/cm3
# crystal system	cubic
data_Hf2Be6Cu21
_cell_length_a 11.112
_cell_length_b 11.112
_cell_length_c 11.112
_cell_angle_alpha 90.00
_cell_angle_beta 90.00
_cell_angle_gamma 90.00
_space_group_name_H-M_alt 'F m -3 m'
_space_group_IT_number 225
_space_group_name_Hall '-F 4 2 3'
loop_
_atom_site_label
_atom_site_fract_x
_atom_site_fract_y
_atom_site_fract_z
Hf1 0.250 0.250 0.250
Be1 0.000 0.000 0.238
Cu1 0.000 0.000 0.500
Cu2 0.000 0.173 0.327
Cu3 0.114 0.114 0.114


# 9
# Er6HgS3, optimized geometry, DFT PBE-GGA
# DOS at the Fermi energy	11.93	states/eV per cell
# raw formation energy	-1.247	eV per atom
# energy	-105.06	eV/cell
# ρ	8.92	g/cm3
# crystal system	monoclinic
data_Er6HgS3
_cell_length_a 11.660
_cell_length_b 3.804
_cell_length_c 11.725
_cell_angle_alpha 90.00
_cell_angle_beta 111.40
_cell_angle_gamma 90.00
_space_group_name_H-M_alt 'P 1 21/m 1'
_space_group_IT_number 11
loop_
_space_group_symop_operation_xyz
'x,y,z'
'-x,-y,-z'
'-x,y+1/2,-z'
'x,-y+1/2,z'
loop_
_atom_site_label
_atom_site_fract_x
_atom_site_fract_y
_atom_site_fract_z
Er1 0.020 0.250 0.337
Er2 0.136 0.750 0.103
Er3 0.258 0.250 0.660
Er4 0.344 0.750 0.937
Er5 0.354 0.750 0.449
Er6 0.435 0.250 0.233
Hg1 0.124 0.250 0.880
S1 0.132 0.750 0.503
S2 0.224 0.250 0.277
S3 0.460 0.250 0.859


# 10
# TaBeIn2, optimized geometry, DFT PBE-GGA
# DOS at the Fermi energy	6.11	states/eV per cell
# ΔE_f	1.53	eV per formula unit
# energy	-58.59	eV/cell
# ρ	9.05	g/cm3
# crystal system	trigonal
data_TaBeIn2
_cell_length_a 3.0914
_cell_length_b 3.0914
_cell_length_c 27.9014
_cell_angle_alpha 90.00
_cell_angle_beta 90.00
_cell_angle_gamma 120.00
_space_group_name_H-M_alt 'R 3 m'
_space_group_IT_number 160
_space_group_name_Hall 'R 3 -2"'
loop_
_atom_site_label
_atom_site_fract_x
_atom_site_fract_y
_atom_site_fract_z
Ta1 0.0000 0.0000 0.0000
Be1 0.0000 0.0000 0.7365
In1 0.0000 0.0000 0.2453
In2 0.0000 0.0000 0.4790


# 11
# Ca3Ac12Tb, optimized geometry, DFT PBE-GGA
# DOS at the Fermi energy	21.79	states/eV per cell
# ΔE_f	0.40	eV per formula unit
# energy	-59.53	eV/cell
# ρ	7.20	g/cm3
# crystal system	tetragonal
data_Ca3Ac12Tb
_cell_length_a 5.573
_cell_length_b 5.573
_cell_length_c 22.293
_cell_angle_alpha 90.00
_cell_angle_beta 90.00
_cell_angle_gamma 90.00
_space_group_name_H-M_alt 'P 4/m m m'
_space_group_IT_number 123
_space_group_name_Hall '-P 4 2'
loop_
_atom_site_label
_atom_site_fract_x
_atom_site_fract_y
_atom_site_fract_z
Ca1 0.000 0.000 0.000
Ca2 0.000 0.000 0.252
Ac1 0.000 0.500 0.126
Ac2 0.000 0.500 0.379
Ac3 0.500 0.500 0.000
Ac4 0.500 0.500 0.252
Ac5 0.500 0.500 0.500
Tb1 0.000 0.000 0.500


# 12
# FeNiRh, optimized geometry, DFT PBE-GGA
# DOS at the Fermi energy	9.04	states/eV per cell
# energy above the most stable polymorph in this dataset	0	meV/atom
# ΔE_f	-0.01	eV per formula unit
# energy	-43.21	eV/cell
# ρ	9.63	g/cm3
# crystal system	tetragonal
data_FeNiRh
_cell_length_a 2.631
_cell_length_b 2.631
_cell_length_c 10.828
_cell_angle_alpha 90.00
_cell_angle_beta 90.00
_cell_angle_gamma 90.00
_space_group_name_H-M_alt 'I 4 m m'
_space_group_IT_number 107
_space_group_name_Hall 'I 4 -2'
loop_
_atom_site_label
_atom_site_fract_x
_atom_site_fract_y
_atom_site_fract_z
Fe1 0.000 0.000 0.000
Ni1 0.000 0.000 0.655
Rh1 0.000 0.000 0.329


# 13
# Pm2ErSi3Pt4, optimized geometry, DFT PBE-GGA
# DOS at the Fermi energy	6.87	states/eV per cell
# raw formation energy	-1.072	eV per atom
# energy	-65.22	eV/cell
# ρ	11.20	g/cm3
# crystal system	tetragonal
data_Pm2ErSi3Pt4
_cell_length_a 4.263
_cell_length_b 4.263
_cell_length_c 10.778
_cell_angle_alpha 90.00
_cell_angle_beta 90.00
_cell_angle_gamma 90.00
_space_group_name_H-M_alt 'P -4 m 2'
_space_group_IT_number 115
loop_
_space_group_symop_operation_xyz
'x,y,z'
'y,-x,-z'
'-x,-y,z'
'-y,x,-z'
'-x,y,z'
'-y,-x,-z'
'x,-y,z'
'y,x,-z'
loop_
_atom_site_label
_atom_site_fract_x
_atom_site_fract_y
_atom_site_fract_z
Pm1 0.000 0.500 0.227
Er1 0.000 0.000 0.500
Si1 0.000 0.500 0.881
Si2 0.500 0.500 0.500
Pt1 0.000 0.000 0.000
Pt2 0.000 0.500 0.659
Pt3 0.500 0.500 0.000